DFT (PBE) results for a relaxed PHSeS2 crystal.

* SG: P4/mmm
* raw total energy: -3.224 eV/atom
* polymorph energy (0 for the lowest one): 0.0000 eV per atom
* size of the total moment: 0.000 μB/atom

a b c (Å): 4.7669 4.7669 3.1975
angles (deg): 90.00 90.00 90.00
Positions (direct):
P 0.0000 0.0000 0.0000
H 0.0000 0.0000 0.5000
Se 0.5000 0.5000 0.0000
S 0.0000 0.5000 0.5000
S 0.5000 0.0000 0.5000